{
  "formula": "Gd3ScCl",
  "functional": "GGA-PBE",
  "state": "relaxed",
  "lattice_angstrom": [[5.280, 0.000, 0.000], [0.000, 5.280, 0.000], [0.000, 0.000, 5.280]],
  "species": ["Gd", "Gd", "Gd", "Sc", "Cl"],
  "frac_coords": [[0.000, 0.000, 0.500], [0.000, 0.500, 0.000], [0.500, 0.000, 0.000], [0.500, 0.500, 0.500], [0.000, 0.000, 0.000]],
  "total_magnetization_mub_per_cell": 21.62,
  "volume_a3_per_atom": 29.44,
  "total_energy_ry_per_atom": -0.7693,
  "raw_formation_energy_kj_per_mol_atoms": -36.86
}